Computed, not measured: a relaxed structure of PuZn2GaCu4 at the PBE level of DFT.

Output
As for the crystal system: trigonal. The formation energy is -7 meV/atom. Its volume is 128.19 Å³/cell. Its space-group type is No. 166.

Structure (POSCAR):
```
PuZn2GaCu4
1.0
-0.847 0.393 -4.078
-2.634 -2.668 -1.856
-7.638 4.359 -0.139
Cu Zn Pu Ga
4 2 1 1
direct
0.872 0.872 0.383
0.596 0.596 0.211
0.404 0.404 0.789
0.128 0.128 0.617
0.244 0.244 0.269
0.756 0.756 0.731
0.000 0.000 0.000
0.500 0.500 0.500
```